Arrangement w

The following is a PBE-GGA calculation of a geometry-optimized DyTaAsO structure, from the Open Quantum Materials Database.

* magnetization: 0.025 μB per cell

Unit cell a=3.796 b=7.326 c=5.727 alpha=90.00 beta=90.00 gamma=90.00
Sites, in units of the cell vectors:
1 As 0.000 0.835 0.463
2 As 0.000 0.165 0.963
3 Ta 0.500 0.408 0.981
4 Ta 0.500 0.592 0.481
5 O 0.500 0.332 0.335
6 O 0.500 0.668 0.835
7 Dy 0.000 0.772 0.975
8 Dy 0.000 0.228 0.475

---

Arrangement x

The following is a PBE-GGA calculation of a geometry-optimized DyTaAsO structure, from the Open Quantum Materials Database.

* magnetization: 0.004 μB per cell

Unit cell a=4.099 b=4.099 c=7.903 alpha=90.00 beta=90.00 gamma=90.00
Sites, in units of the cell vectors:
1 O 0.500 0.500 0.000
2 O 0.000 0.000 0.000
3 As 0.500 0.000 0.756
4 As 0.000 0.500 0.244
5 Ta 0.500 0.000 0.107
6 Ta 0.000 0.500 0.893
7 Dy 0.500 0.500 0.500
8 Dy 0.000 0.000 0.500

---

Which one sits at the top of the stability order? arrangement w does.

---

Arrangement w

The following is a PBE-GGA calculation of a geometry-optimized DyTaAsO structure, from the Open Quantum Materials Database.

* magnetization: 0.067 μB per cell

Unit cell a=3.950 b=3.950 c=9.000 alpha=90.00 beta=90.00 gamma=90.00
Sites, in units of the cell vectors:
1 O 0.000 0.000 0.000
2 O 0.500 0.500 0.000
3 Dy 0.500 0.000 0.122
4 Dy 0.000 0.500 0.878
5 Ta 0.000 0.000 0.500
6 Ta 0.500 0.500 0.500
7 As 0.000 0.500 0.299
8 As 0.500 0.000 0.701

---

Arrangement x

The following is a PBE-GGA calculation of a geometry-optimized DyTaAsO structure, from the Open Quantum Materials Database.

* magnetization: 0.001 μB per cell

Unit cell a=4.129 b=4.993 c=6.665 alpha=90.00 beta=90.00 gamma=90.00
Sites, in units of the cell vectors:
1 Ta 0.000 0.626 0.938
2 Ta 0.000 0.374 0.438
3 Dy 0.500 0.813 0.595
4 Dy 0.500 0.187 0.095
5 As 0.000 0.135 0.789
6 As 0.000 0.865 0.289
7 O 0.500 0.619 0.931
8 O 0.500 0.381 0.431

---

Which one sits at the top of the stability order? arrangement w does.

---

Arrangement w

The following is a PBE-GGA calculation of a geometry-optimized TbDyAsO structure, from the Open Quantum Materials Database.

* magnetization: 0.025 μB per cell

Unit cell a=4.167 b=7.627 c=5.918 alpha=90.00 beta=90.00 gamma=90.00
Sites, in units of the cell vectors:
1 Dy 0.500 0.111 0.511
2 Dy 0.500 0.889 0.011
3 Tb 0.000 0.292 0.937
4 Tb 0.000 0.708 0.437
5 O 0.500 0.171 0.878
6 O 0.500 0.829 0.378
7 As 0.000 0.338 0.428
8 As 0.000 0.662 0.928

---

Arrangement x

The following is a PBE-GGA calculation of a geometry-optimized TbDyAsO structure, from the Open Quantum Materials Database.

* magnetization: 0.007 μB per cell

Unit cell a=4.317 b=4.317 c=8.856 alpha=90.00 beta=90.00 gamma=90.00
Sites, in units of the cell vectors:
1 Tb 0.500 0.500 0.500
2 Tb 0.000 0.000 0.500
3 Dy 0.000 0.500 0.900
4 Dy 0.500 0.000 0.100
5 O 0.500 0.500 0.000
6 O 0.000 0.000 0.000
7 As 0.500 0.000 0.708
8 As 0.000 0.500 0.292

---

Arrangement y

The following is a PBE-GGA calculation of a geometry-optimized TbDyAsO structure, from the Open Quantum Materials Database.

* magnetization: 0.018 μB per cell

Unit cell a=4.156 b=7.672 c=5.873 alpha=90.00 beta=90.00 gamma=90.00
Sites, in units of the cell vectors:
1 As 0.000 0.657 0.929
2 As 0.000 0.343 0.429
3 Tb 0.500 0.886 0.006
4 Tb 0.500 0.114 0.506
5 O 0.500 0.173 0.881
6 O 0.500 0.827 0.381
7 Dy 0.000 0.710 0.438
8 Dy 0.000 0.290 0.938

---

Arrangement z

The following is a PBE-GGA calculation of a geometry-optimized TbDyAsO structure, from the Open Quantum Materials Database.

* magnetization: 0.013 μB per cell

Unit cell a=4.340 b=4.340 c=8.800 alpha=90.00 beta=90.00 gamma=90.00
Sites, in units of the cell vectors:
1 Tb 0.000 0.500 0.898
2 Tb 0.500 0.000 0.102
3 O 0.000 0.000 0.000
4 O 0.500 0.500 0.000
5 Dy 0.000 0.000 0.500
6 Dy 0.500 0.500 0.500
7 As 0.000 0.500 0.294
8 As 0.500 0.000 0.706

---

Which one sits at the top of the stability order? arrangement w does.

---

Arrangement w

The following is a PBE-GGA calculation of a geometry-optimized DyTeAsO structure, from the Open Quantum Materials Database.

* magnetization: 0.008 μB per cell

Unit cell a=5.616 b=7.194 c=5.938 alpha=90.00 beta=90.00 gamma=90.00
Sites, in units of the cell vectors:
1 Te 0.000 0.675 0.498
2 Te 0.000 0.325 0.998
3 Dy 0.500 0.817 0.986
4 Dy 0.500 0.183 0.486
5 O 0.500 0.964 0.274
6 O 0.500 0.036 0.774
7 As 0.000 0.688 0.996
8 As 0.000 0.312 0.496

---

Arrangement x

The following is a PBE-GGA calculation of a geometry-optimized DyTeAsO structure, from the Open Quantum Materials Database.

* magnetization: 0.006 μB per cell

Unit cell a=5.745 b=5.745 c=5.198 alpha=90.00 beta=90.00 gamma=90.01
Sites, in units of the cell vectors:
1 O 0.250 0.750 0.000
2 O 0.750 0.250 0.000
3 Te 0.250 0.250 0.000
4 Te 0.750 0.750 0.000
5 As 0.750 0.750 0.500
6 As 0.250 0.250 0.500
7 Dy 0.250 0.750 0.500
8 Dy 0.750 0.250 0.500

---

Which one sits at the top of the stability order? arrangement w does.

---

Arrangement w

The following is a PBE-GGA calculation of a geometry-optimized DyTeAsO structure, from the Open Quantum Materials Database.

* magnetization: 0.012 μB per cell

Unit cell a=4.087 b=4.087 c=10.417 alpha=90.00 beta=90.00 gamma=90.00
Sites, in units of the cell vectors:
1 O 0.750 0.250 0.000
2 O 0.250 0.750 0.000
3 As 0.250 0.250 0.734
4 As 0.750 0.750 0.266
5 Te 0.250 0.750 0.500
6 Te 0.750 0.250 0.500
7 Dy 0.750 0.750 0.903
8 Dy 0.250 0.250 0.097

---

Arrangement x

The following is a PBE-GGA calculation of a geometry-optimized DyTeAsO structure, from the Open Quantum Materials Database.

* magnetization: 0.001 μB per cell

Unit cell a=5.593 b=5.593 c=5.253 alpha=90.00 beta=90.00 gamma=90.00
Sites, in units of the cell vectors:
1 O 0.750 0.250 0.000
2 O 0.250 0.750 0.000
3 Dy 0.250 0.750 0.500
4 Dy 0.750 0.250 0.500
5 As 0.750 0.750 0.401
6 As 0.250 0.250 0.599
7 Te 0.750 0.750 0.907
8 Te 0.250 0.250 0.093

---

Arrangement y

The following is a PBE-GGA calculation of a geometry-optimized DyTeAsO structure, from the Open Quantum Materials Database.

* magnetization: 0.004 μB per cell

Unit cell a=5.738 b=5.738 c=6.148 alpha=99.98 beta=99.98 gamma=88.52
Sites, in units of the cell vectors:
1 As 0.918 0.918 0.753
2 As 0.234 0.234 0.398
3 Dy 0.295 0.295 0.919
4 Dy 0.694 0.694 0.058
5 O 0.663 0.324 0.995
6 O 0.324 0.663 0.995
7 Te 0.161 0.712 0.441
8 Te 0.712 0.161 0.441

---

Which one sits at the top of the stability order? arrangement w does.

---

Arrangement w

The following is a PBE-GGA calculation of a geometry-optimized DyTlAsO structure, from the Open Quantum Materials Database.

* magnetization: 0.001 μB per cell

Unit cell a=5.546 b=6.395 c=5.762 alpha=90.00 beta=90.00 gamma=90.00
Sites, in units of the cell vectors:
1 Tl 0.000 0.788 0.440
2 Tl 0.000 0.212 0.940
3 As 0.000 0.699 0.938
4 As 0.000 0.301 0.438
5 Dy 0.500 0.820 0.010
6 Dy 0.500 0.180 0.510
7 O 0.500 0.117 0.865
8 O 0.500 0.883 0.365

---

Arrangement x

The following is a PBE-GGA calculation of a geometry-optimized DyTlAsO structure, from the Open Quantum Materials Database.

* magnetization: 0.071 μB per cell

Unit cell a=4.184 b=4.184 c=9.680 alpha=90.00 beta=90.00 gamma=90.00
Sites, in units of the cell vectors:
1 Dy 0.500 0.000 0.101
2 Dy 0.000 0.500 0.899
3 O 0.000 0.000 0.000
4 O 0.500 0.500 0.000
5 Tl 0.500 0.500 0.500
6 Tl 0.000 0.000 0.500
7 As 0.500 0.000 0.727
8 As 0.000 0.500 0.273

---

Which one sits at the top of the stability order? arrangement x does.